[1]
The following is a GGA-PBE calculation of an optimized crystal structure of Ba2Ga3CuPd4, from the Alexandria database.

```
data_Ba2Ga3CuPd4
_symmetry_space_group_name_H-M 'P -4 m 2'
_symmetry_Int_Tables_number 115
_symmetry_space_group_name_Hall 'P -4 -2'
_cell_length_a 4.570
_cell_length_b 4.570
_cell_length_c 10.327
_cell_angle_alpha 90.00
_cell_angle_beta 90.00
_cell_angle_gamma 90.00
loop_
_atom_site_label
_atom_site_fract_x
_atom_site_fract_y
_atom_site_fract_z
_atom_site_occupancy
Ba1 0.000 0.500 0.247 1
Ga1 0.000 0.000 0.000 1
Ga2 0.000 0.500 0.617 1
Cu1 0.500 0.500 0.000 1
Pd1 0.000 0.000 0.500 1
Pd2 0.000 0.500 0.874 1
Pd3 0.500 0.500 0.500 1
```

- E (eV/atom) = -4.358
- total magnetization (μB/f.u.) = 0.00


[2]
The following is a GGA-PBE calculation of an optimized crystal structure of BaGa2CuPd, from the Alexandria database.

```
data_BaGa2CuPd
_symmetry_space_group_name_H-M 'P 3 m 1'
_symmetry_Int_Tables_number 156
_symmetry_space_group_name_Hall 'P 3 -2"'
_cell_length_a 4.3778
_cell_length_b 4.3778
_cell_length_c 7.3696
_cell_angle_alpha 90.00
_cell_angle_beta 90.00
_cell_angle_gamma 120.00
loop_
_atom_site_label
_atom_site_fract_x
_atom_site_fract_y
_atom_site_fract_z
_atom_site_occupancy
Ba1 0.0000 0.0000 0.0000 1
Ga1 0.3333 0.6667 0.3397 1
Ga2 0.6667 0.3333 0.6545 1
Cu1 0.6667 0.3333 0.3194 1
Pd1 0.3333 0.6667 0.6796 1
```

- E (eV/atom) = -3.730
- total magnetization (μB/f.u.) = 0.00


[3]
The following is a GGA-PBE calculation of an optimized crystal structure of BaGaCuPd, from the Alexandria database.

```
data_BaGaCuPd
_symmetry_space_group_name_H-M 'C 1 m 1'
_symmetry_Int_Tables_number 8
_symmetry_space_group_name_Hall 'C -2y'
_cell_length_a 7.682
_cell_length_b 4.426
_cell_length_c 6.214
_cell_angle_alpha 90.00
_cell_angle_beta 114.34
_cell_angle_gamma 90.00
loop_
_atom_site_label
_atom_site_fract_x
_atom_site_fract_y
_atom_site_fract_z
_atom_site_occupancy
Ba1 0.000 0.000 0.000 1
Ga1 0.004 0.500 0.513 1
Cu1 0.311 0.500 0.434 1
Pd1 0.191 0.000 0.575 1
```

- E (eV/atom) = -4.009
- total magnetization (μB/f.u.) = 0.00


[4]
The following is a GGA-PBE calculation of an optimized crystal structure of BaGa2CuPt, from the Alexandria database.

```
data_BaGa2CuPt
_symmetry_space_group_name_H-M 'P 3 m 1'
_symmetry_Int_Tables_number 156
_symmetry_space_group_name_Hall 'P 3 -2"'
_cell_length_a 4.3541
_cell_length_b 4.3541
_cell_length_c 7.4106
_cell_angle_alpha 90.00
_cell_angle_beta 90.00
_cell_angle_gamma 120.00
loop_
_atom_site_label
_atom_site_fract_x
_atom_site_fract_y
_atom_site_fract_z
_atom_site_occupancy
Ba1 0.0000 0.0000 0.0000 1
Ga1 0.3333 0.6667 0.3521 1
Ga2 0.6667 0.3333 0.6513 1
Cu1 0.6667 0.3333 0.3160 1
Pt1 0.3333 0.6667 0.6930 1
```

- offset from the most stable computed form (eV/f.u.) = 0.132
- total magnetization (μB/f.u.) = 0.00


[5]
The following is a GGA-PBE calculation of an optimized crystal structure of BaGaCuPt3, from the Alexandria database.

```
data_BaGaCuPt3
_symmetry_space_group_name_H-M 'C m c m'
_symmetry_Int_Tables_number 63
_symmetry_space_group_name_Hall '-C 2c 2'
_cell_length_a 6.857
_cell_length_b 12.540
_cell_length_c 5.967
_cell_angle_alpha 90.00
_cell_angle_beta 90.00
_cell_angle_gamma 90.00
loop_
_atom_site_label
_atom_site_fract_x
_atom_site_fract_y
_atom_site_fract_z
_atom_site_occupancy
Ba1 0.000 0.232 0.250 1
Ga1 0.000 0.119 0.750 1
Cu1 0.000 0.489 0.250 1
Pt1 0.000 0.311 0.750 1
Pt2 0.206 0.000 0.000 1
```

- E (eV/atom) = -4.955
- total magnetization (μB/f.u.) = 0.00


[6]
The following is a GGA-PBE calculation of an optimized crystal structure of Ba2Ga4CuPt3, from the Alexandria database.

```
data_Ba2Ga4CuPt3
_symmetry_space_group_name_H-M 'P -4 m 2'
_symmetry_Int_Tables_number 115
_symmetry_space_group_name_Hall 'P -4 -2'
_cell_length_a 4.565
_cell_length_b 4.565
_cell_length_c 10.358
_cell_angle_alpha 90.00
_cell_angle_beta 90.00
_cell_angle_gamma 90.00
loop_
_atom_site_label
_atom_site_fract_x
_atom_site_fract_y
_atom_site_fract_z
_atom_site_occupancy
Ba1 0.000 0.500 0.245 1
Ga1 0.000 0.000 0.500 1
Ga2 0.000 0.500 0.885 1
Ga3 0.500 0.500 0.500 1
Cu1 0.500 0.500 0.000 1
Pt1 0.000 0.000 0.000 1
Pt2 0.000 0.500 0.625 1
```

- E (eV/atom) = -4.493
- total magnetization (μB/f.u.) = 0.00